LuPuHg | PBE-GGA | optimized geometry

## Properties
Its total magnetic moment is 6.3 μB/cell. The calculation puts the total energy at -18.6 eV per cell. Its space group is No. 216. The formation energy comes out at 110 meV/atom.

abc: 5.118 5.118 5.118
angles: 60.00 60.00 60.00
Fractional positions:
Lu1 0.000 0.000 0.000
Pu1 0.500 0.500 0.500
Hg1 0.250 0.250 0.250